(1)
A plane-wave DFT calculation with GGA-PBE was carried out for crystalline BaBeSiNi at its relaxed geometry.

Values from the calculation:
- total magnetization (Bohr magnetons per cell) = 0.1
- ρ (g cm⁻³) = 4.859
- raw total energy (eV/atom) = -3.4756

a = 6.8303 Å, b = 6.8303 Å, c = 6.8303 Å
α = 90.00°, β = 90.00°, γ = 90.00°
Last column: nearest neighbours and their distance in Å.
Space group F-43m (No. 216)
Inequivalent atoms, fractional coordinates:
Ba: 0.0000 0.0000 0.0000 x4  4 Ni 2.96, 4 Si 2.96
Be: 0.0000 0.0000 0.5000 x4  4 Ni 2.96, 4 Si 2.96
Si: 0.2500 0.2500 0.2500 x4  4 Ba 2.96, 4 Be 2.96
Ni: 0.2500 0.2500 0.7500 x4  4 Ba 2.96, 4 Be 2.96

=====

(2)
A plane-wave DFT calculation with GGA-PBE was carried out for crystalline ReGeNO at its relaxed geometry.

Values from the calculation:
- total magnetization (Bohr magnetons per cell) = 0.1
- ρ (g cm⁻³) = 9.536
- raw total energy (eV/atom) = -7.6370

a = 5.1410 Å, b = 7.6949 Å, c = 5.6958 Å
α = 90.00°, β = 116.75°, γ = 90.00°
Last column: nearest neighbours and their distance in Å.
Space group Cm (No. 8)
Inequivalent atoms, fractional coordinates:
Re: 0.0000 0.0000 0.0000 x2  2 O 1.86, 2 N 1.87-2.07
Re: 0.0384 0.5000 0.3568 x2  1 N 1.88
Ge: 0.2376 0.1830 0.5562 x4  1 O 1.90, 1 N 1.96
N: 0.0394 0.0000 0.6541 x2  2 Ge 1.96, 1 Re 2.07
N: 0.2581 0.5000 0.1668 x2  2 Re 1.87-1.88
O: 0.4350 0.2665 0.9067 x4  1 Re 1.86, 1 Ge 1.90

=====

(3)
A plane-wave DFT calculation with GGA-PBE was carried out for crystalline Nd2HoPd3Pb3 at its relaxed geometry.

Values from the calculation:
- total magnetization (Bohr magnetons per cell) = 0.0
- ρ (g cm⁻³) = 10.789
- raw total energy (eV/atom) = -5.2490

a = 3.9727 Å, b = 13.6429 Å, c = 7.9186 Å
α = 90.00°, β = 90.00°, γ = 90.00°
Last column: nearest neighbours and their distance in Å.
Space group Amm2 (No. 38)
Inequivalent atoms, fractional coordinates:
Nd: 0.0000 0.2018 0.0000 x4  5 Pd 3.15-3.20, 6 Pb 3.30-3.45
Ho: 0.0000 0.0000 0.3962 x2  5 Pd 3.07-3.14, 6 Pb 3.31-3.42
Pd: 0.0000 0.0000 0.7930 x2  6 Pb 2.86-2.91, 1 Ho 3.14
Pd: 0.5000 0.1620 0.3004 x4  3 Pb 2.91-3.02, 2 Ho 3.07, 4 Nd 3.15
Pb: 0.5000 0.0000 0.0614 x2  4 Pd 2.91
Pb: 0.5000 0.1310 0.6650 x4  4 Pd 2.86-3.02

=====

(4)
A plane-wave DFT calculation with GGA-PBE was carried out for crystalline Na4AlGePt2 at its relaxed geometry.

Values from the calculation:
- total magnetization (Bohr magnetons per cell) = 0.0
- ρ (g cm⁻³) = 6.685
- raw total energy (eV/atom) = -3.3897

a = 4.6713 Å, b = 4.6713 Å, c = 6.6223 Å
α = 90.00°, β = 90.00°, γ = 90.00°
Last column: nearest neighbours and their distance in Å.
Space group P-4m2 (No. 115)
Inequivalent atoms, fractional coordinates:
Na: 0.0000 0.0000 0.0000 x1  4 Pt 2.84, 4 Na 2.87
Na: 0.0000 0.5000 0.7472 x2  2 Ge 2.85, 4 Na 2.85-2.87, 2 Al 2.87
Na: 0.5000 0.5000 0.5000 x1  4 Na 2.85, 4 Pt 2.89
Al: 0.5000 0.5000 0.0000 x1  4 Pt 2.84, 4 Na 2.87
Ge: 0.0000 0.0000 0.5000 x1  4 Na 2.85, 4 Pt 2.89
Pt: 0.0000 0.5000 0.2437 x2  4 Na 2.84-2.89, 2 Al 2.84, 2 Ge 2.89

=====

(5)
A plane-wave DFT calculation with GGA-PBE was carried out for crystalline B2PdO4 at its relaxed geometry.

Values from the calculation:
- ρ (g cm⁻³) = 5.268
- raw total energy (eV/atom) = -7.1189

a = 9.4736 Å, b = 5.9878 Å, c = 4.3971 Å
α = 90.00°, β = 103.90°, γ = 90.00°
Last column: nearest neighbours and their distance in Å.
Space group C2/c (No. 15)
Inequivalent atoms, fractional coordinates:
B: 0.1920 0.1049 0.3875 x8  4 O 1.43-1.54
Pd: 0.0000 0.3334 0.7500 x4  2 O 2.02
O: 0.1474 0.3334 0.4843 x8  2 B 1.52-1.54
O: 0.1496 0.0768 0.0561 x8  2 B 1.43

=====

(6)
A plane-wave DFT calculation with GGA-PBE was carried out for crystalline Hf2Te at its relaxed geometry.

Values from the calculation:
- total magnetization (Bohr magnetons per cell) = 0.1
- ρ (g cm⁻³) = 11.136
- raw total energy (eV/atom) = -7.4328

a = 8.3304 Å, b = 8.3304 Å, c = 8.3304 Å
α = 90.00°, β = 90.00°, γ = 90.00°
Last column: nearest neighbours and their distance in Å.
Space group Fd-3m (No. 227, origin choice 2)
Inequivalent atoms, fractional coordinates:
Hf: 0.0000 0.0000 0.0000 x16  6 Hf 2.95
Te: 0.1250 0.1250 0.6250 x8  12 Hf 3.45, 4 Te 3.61

=====

(7)
A plane-wave DFT calculation with GGA-PBE was carried out for crystalline Nd2Sm2CBr3Cl2 at its relaxed geometry.

Values from the calculation:
- total magnetization (Bohr magnetons per cell) = 0.2
- ρ (g cm⁻³) = 5.244
- raw total energy (eV/atom) = -5.2327

a = 18.1261 Å, b = 3.9175 Å, c = 8.3897 Å
α = 90.00°, β = 104.23°, γ = 90.00°
Last column: nearest neighbours and their distance in Å.
Space group C2/m (No. 12)
Inequivalent atoms, fractional coordinates:
Nd: 0.0004 0.0000 0.2073 x4  2 C 2.62, 1 Cl 2.86
Sm: 0.1408 0.5000 0.0789 x4  1 C 2.47
C: 0.0000 0.5000 0.0000 x2  2 Sm 2.47, 4 Nd 2.62
Br: 0.0000 0.5000 0.5000 x2  4 Nd 3.14
Br: 0.1713 0.0000 0.8372 x4  3 Sm 2.97-3.30, 1 Nd 3.04
Cl: 0.1624 0.0000 0.3219 x4  2 Sm 2.78, 1 Nd 2.86

=====

(8)
A plane-wave DFT calculation with GGA-PBE was carried out for crystalline HfAl2Ag at its relaxed geometry.

Values from the calculation:
- total magnetization (Bohr magnetons per cell) = 0.1
- ρ (g cm⁻³) = 7.867
- raw total energy (eV/atom) = -5.0412

a = 6.5988 Å, b = 6.5988 Å, c = 6.5988 Å
α = 90.00°, β = 90.00°, γ = 90.00°
Last column: nearest neighbours and their distance in Å.
Space group F-43m (No. 216)
Inequivalent atoms, fractional coordinates:
Hf: 0.0000 0.0000 0.0000 x4  4 Ag 2.86, 4 Al 2.86
Al: 0.0000 0.0000 0.5000 x4  4 Al 2.86, 4 Ag 2.86
Al: 0.2500 0.2500 0.7500 x4  4 Hf 2.86, 4 Al 2.86
Ag: 0.2500 0.2500 0.2500 x4  4 Hf 2.86, 4 Al 2.86